12
Lattice="5.061 0.000 0.000 0.000 6.901 0.000 -0.103 0.000 5.060" Properties=species:S:1:pos:R:3 comment="Ho2TmPuO8 PBE relaxed" formation_energy_uncorrected_ev_per_atom=-3.114 crystal_system=monoclinic dft_energy_ev_per_cell=-104.991 pbc="T T T"
Ho 0.000 1.653 0.000
Ho 0.000 5.248 0.000
Tm 2.479 0.000 2.530
Pu 2.479 3.451 2.530
O 0.962 0.000 0.986
O 1.080 3.451 1.110
O 1.535 1.897 3.462
O 1.535 5.004 3.462
O 3.424 1.897 1.598
O 3.424 5.004 1.598
O 3.879 3.451 3.950
O 3.997 0.000 4.074